Version P
Material: AlCr2Fe
Method: DFT, PBE
State: optimized geometry

Cell: 2.955 4.092 7.994 Å, 90.00 90.00 90.00°
Positions (direct):
Al1 0.000 0.000 0.000
Al2 0.500 0.500 0.000
Cr1 0.000 0.000 0.507
Cr2 0.000 0.500 0.263
Cr3 0.500 0.000 0.263
Cr4 0.500 0.500 0.507
Fe1 0.000 0.500 0.749
Fe2 0.500 0.000 0.749


Version Q
Material: AlCr2Fe
Method: DFT, PBE
State: optimized geometry

Cell: 2.588 2.588 25.029 Å, 90.00 90.00 120.00°
Positions (direct):
Al1 0.000 0.000 0.000
Al2 0.333 0.667 0.667
Al3 0.667 0.333 0.333
Cr1 0.000 0.000 0.246
Cr2 0.000 0.000 0.754
Cr3 0.333 0.667 0.421
Cr4 0.333 0.667 0.912
Cr5 0.667 0.333 0.088
Cr6 0.667 0.333 0.579
Fe1 0.000 0.000 0.500
Fe2 0.333 0.667 0.167
Fe3 0.667 0.333 0.833


Quick one: least stable of them? version Q


Version P
Material: K2RbI
Method: DFT, PBE
State: optimized geometry

Cell: 12.035 12.035 7.609 Å, 90.00 90.00 90.00°
Positions (direct):
K1 0.143 0.250 0.125
K2 0.250 0.643 0.375
K3 0.250 0.857 0.875
K4 0.357 0.250 0.625
K5 0.643 0.750 0.625
K6 0.750 0.143 0.875
K7 0.750 0.357 0.375
K8 0.857 0.750 0.125
Rb1 0.000 0.000 0.500
Rb2 0.000 0.500 0.750
Rb3 0.500 0.000 0.250
Rb4 0.500 0.500 0.000
I1 0.000 0.000 0.000
I2 0.000 0.500 0.250
I3 0.500 0.000 0.750
I4 0.500 0.500 0.500


Version Q
Material: K2RbI
Method: DFT, PBE
State: optimized geometry

Cell: 4.937 4.937 37.637 Å, 90.00 90.00 120.00°
Positions (direct):
K1 0.000 0.000 0.000
K2 0.000 0.000 0.218
K3 0.333 0.667 0.667
K4 0.333 0.667 0.884
K5 0.667 0.333 0.333
K6 0.667 0.333 0.551
Rb1 0.000 0.000 0.775
Rb2 0.333 0.667 0.442
Rb3 0.667 0.333 0.108
I1 0.000 0.000 0.609
I2 0.333 0.667 0.276
I3 0.667 0.333 0.942


Quick one: least stable of them? version P


Version P
Material: K2AgHg2
Method: DFT, PBE
State: optimized geometry

Cell: 9.344 9.344 4.402 Å, 90.00 90.00 90.00°
Positions (direct):
K1 0.177 0.323 0.000
K2 0.323 0.823 0.000
K3 0.677 0.177 0.000
K4 0.823 0.677 0.000
Ag1 0.000 0.000 0.000
Ag2 0.500 0.500 0.000
Hg1 0.120 0.620 0.500
Hg2 0.380 0.120 0.500
Hg3 0.620 0.880 0.500
Hg4 0.880 0.380 0.500


Version Q
Material: K2AgHg2
Method: DFT, PBE
State: optimized geometry

Cell: 6.732 6.732 8.359 Å, 90.00 90.00 90.00°
Positions (direct):
K1 0.000 0.500 0.250
K2 0.000 0.500 0.750
K3 0.500 0.000 0.250
K4 0.500 0.000 0.750
Ag1 0.000 0.000 0.000
Ag2 0.500 0.500 0.500
Hg1 0.000 0.000 0.331
Hg2 0.000 0.000 0.669
Hg3 0.500 0.500 0.169
Hg4 0.500 0.500 0.831


Quick one: least stable of them? version P


Version P
Material: BaCaCl2
Method: DFT, PBE
State: optimized geometry

Cell: 5.090 5.090 22.714 Å, 90.00 90.00 120.00°
Positions (direct):
Ba1 0.000 0.000 0.000
Ba2 0.333 0.667 0.667
Ba3 0.667 0.333 0.333
Ca1 0.000 0.000 0.500
Ca2 0.333 0.667 0.167
Ca3 0.667 0.333 0.833
Cl1 0.000 0.000 0.381
Cl2 0.000 0.000 0.619
Cl3 0.333 0.667 0.048
Cl4 0.333 0.667 0.285
Cl5 0.667 0.333 0.715
Cl6 0.667 0.333 0.952


Version Q
Material: BaCaCl2
Method: DFT, PBE
State: optimized geometry

Cell: 5.243 5.243 4.124 Å, 90.00 90.00 90.00°
Positions (direct):
Ba1 0.000 0.000 0.000
Ca1 0.500 0.500 0.000
Cl1 0.000 0.500 0.500
Cl2 0.500 0.000 0.500


Quick one: least stable of them? version Q